1.
Computed, not measured: a relaxed structure of In2Hg at the GGA-PBE level of DFT.

Properties
Fermi-level density of states = 0.50 states/eV/atom
ΔH_f (0 K) = 0.090 eV per atom
Space group = P6_3/mmc (194)
Crystal system = hexagonal
Uncorrected energy = -22.0 eV/cell
Energy relative to the lowest polymorph listed for this composition = 88 meV/atom

Lattice parameters (Å, degrees): 6.374 6.374 9.691 90.00 90.00 120.00
Fractional coordinates of all 12 atoms:
Hg: 0.333 0.667 0.074
Hg: 0.667 0.333 0.574
Hg: 0.667 0.333 0.926
Hg: 0.333 0.667 0.426
In: 0.000 0.000 0.000
In: 0.000 0.000 0.500
In: 0.826 0.653 0.250
In: 0.174 0.347 0.750
In: 0.347 0.174 0.250
In: 0.826 0.174 0.250
In: 0.174 0.826 0.750
In: 0.653 0.826 0.750

---

2.
Computed, not measured: a relaxed structure of LaTb5Sm3 at the GGA-PBE level of DFT.

Properties
Fermi-level density of states = 1.54 states/eV/atom
ΔH_f (0 K) = 0.306 eV per atom
Space group = C2/c (15)
Crystal system = monoclinic
Uncorrected energy = -79.0 eV/cell
Energy relative to the lowest polymorph listed for this composition = 0 meV/atom

Lattice parameters (Å, degrees): 6.088 10.838 11.391 120.58 90.00 106.31
Fractional coordinates of all 18 atoms:
La: 0.872 0.000 0.750
La: 0.128 0.000 0.250
Tb: 0.389 0.000 0.750
Tb: 0.609 0.643 0.974
Tb: 0.839 0.289 0.147
Tb: 0.391 0.357 0.026
Tb: 0.550 0.711 0.353
Tb: 0.611 0.000 0.250
Tb: 0.034 0.643 0.474
Tb: 0.966 0.357 0.526
Tb: 0.450 0.289 0.647
Tb: 0.161 0.711 0.853
Sm: 0.000 0.000 0.000
Sm: 0.412 0.364 0.340
Sm: 0.000 0.000 0.500
Sm: 0.588 0.636 0.660
Sm: 0.952 0.364 0.840
Sm: 0.048 0.636 0.160